A geometry-optimized Li2VCrS4 structure. Source: the Alexandria database, functional PBEsol.

Results
- symmetry = C2/m, No. 12
- raw formation energy (meV per atom) = -1054
- calculated volume (Å³/cell) = 121.6

Unit cell a=6.8423 b=6.8423 c=6.0443 alpha=115.96 beta=115.96 gamma=28.81
Last column: nearest neighbours and their distance in Å.
Positions (direct):
Li (0.2502, 0.2502, 0.2499)  6 S 2.55-2.60
Li (0.7498, 0.7498, 0.7501)  6 S 2.55-2.60
V (0.0000, 0.0000, 0.0000)  6 S 2.41
Cr (0.5000, 0.5000, 0.5000)  6 S 2.38-2.39
S (0.1124, 0.1124, 0.7782)  2 Cr 2.38, 1 V 2.41, 3 Li 2.55-2.60
S (0.3863, 0.3863, 0.7151)  1 Cr 2.39, 2 V 2.41, 3 Li 2.56
S (0.6137, 0.6137, 0.2849)  1 Cr 2.39, 2 V 2.41, 3 Li 2.56
S (0.8876, 0.8876, 0.2218)  2 Cr 2.38, 1 V 2.41, 3 Li 2.55-2.60